This record from the Alexandria database describes a relaxed structure of La2TlAs. The functional is PBE-GGA.

Cell lengths 9.176, 9.176, 9.176 Å; angles 26.41, 26.41, 26.41 degrees
Last column: magnetic moment on the atom in μB.
Positions (direct):
Tl 0.481 0.481 0.481  0.02
As 0.755 0.755 0.755  0.01
La 0.022 0.022 0.022  0.26
La 0.242 0.242 0.242  0.26

## Properties
The magnetization is 1.44 μB per formula unit. The value obtained for the formation energy from the elements is -0.32 eV per atom. The symmetry is R3m.